[1]
# NaSrCaAc

A relaxed NaSrCaAc crystal (PBE, Alexandria).

**DOS at the Fermi energy**: 5.48 states/eV/cell
**Excess energy over the best structure of this formula in the dataset**: 0.018 eV per atom
**ΔE_f**: 0.202 eV/atom
**SG**: F-43m (216)

a b c (Å): 6.336 6.336 6.336
angles (deg): 60.00 60.00 60.00
Positions (direct):
Na  0.000  0.000  0.000
Sr  0.750  0.750  0.750
Ca  0.250  0.250  0.250
Ac  0.500  0.500  0.500

[2]
# Na2Sr2Ca5Ac

A relaxed Na2Sr2Ca5Ac crystal (PBE, Alexandria).

**DOS at the Fermi energy**: 24.14 states/eV/cell
**ΔE_f**: 0.106 eV/atom
**SG**: P4/mbm (127)

a b c (Å): 12.569 12.569 5.622
angles (deg): 90.00 90.00 90.00
Positions (direct):
Na  0.121  0.379  0.000
Na  0.379  0.879  0.000
Na  0.621  0.121  0.000
Na  0.879  0.621  0.000
Sr  0.176  0.676  0.000
Sr  0.324  0.176  0.000
Sr  0.676  0.824  0.000
Sr  0.824  0.324  0.000
Ca  0.000  0.500  0.500
Ca  0.070  0.204  0.500
Ca  0.204  0.930  0.500
Ca  0.296  0.430  0.500
Ca  0.430  0.704  0.500
Ca  0.500  0.000  0.500
Ca  0.570  0.296  0.500
Ca  0.704  0.570  0.500
Ca  0.796  0.070  0.500
Ca  0.930  0.796  0.500
Ac  0.000  0.000  0.000
Ac  0.500  0.500  0.000

Number 1: V 179.89 Å³/cell. Number 2: V 888.27 Å³/cell.